No. 1
4
Lattice="-1.863 -1.398 -1.884 1.617 -2.508 0.263 -4.632 -2.326 6.308" Properties=species:S:1:pos:R:3 comment="ZnOsCl2, optimized geometry, DFT PBE" magnetic_moment_mub_per_cell=0.00 formation_energy_uncorrected_ev_per_atom=0.36 sg="No. 99" pbc="T T T"
Zn -3.524 -3.661 3.821
Os -2.369 -1.190 3.226
Cl -4.288 -2.154 5.839
Cl -1.645 -2.718 1.263

No. 2
9
Lattice="-5.048 5.048 2.616 5.048 -5.048 2.616 5.048 5.048 -2.616" Properties=species:S:1:pos:R:3 comment="La4Hg5, optimized geometry, DFT PBE" magnetic_moment_mub_per_cell=0.39 formation_energy_ev_per_atom=-0.350 sg="No. 139" pbc="T T T"
La 0.000 6.962 0.000
La 0.000 3.134 0.000
La 3.134 0.000 0.000
La 6.962 0.000 0.000
Hg 0.000 0.000 0.000
Hg -1.675 1.675 2.616
Hg 1.675 -1.675 2.616
Hg 3.373 3.373 0.000
Hg 1.675 1.675 2.616

Result set for energy: -3.69, -2.71 eV/atom, one per record in the order listed.